TcAgAs2 | the Alexandria database | PBE | relaxed; crystal system = monoclinic; DOS at the Fermi energy = 0.49 states/eV/atom
1.0
-0.2107 3.8430 -3.2100
-3.2263 3.0486 -2.3267
-0.1181 3.7025 2.9264
As Ag Tc
2 1 1
direct
0.7641 0.7641 0.6696
0.0012 0.0012 0.1182
0.2589 0.2589 0.1793
0.4758 0.4758 0.5329

TcAgAs2 | the Alexandria database | PBE | relaxed; crystal system = cubic; DOS at the Fermi energy = 0.77 states/eV/atom
1.0
4.5284 -0.4646 -0.1336
1.8601 -4.1552 -0.1217
2.0263 -1.4773 -3.8016
Tc Ag As
1 1 2
direct
0.0000 0.0000 0.0000
0.5000 0.5000 0.5000
0.2500 0.2500 0.2500
0.7500 0.7500 0.7500

Tc2AgAs | the Alexandria database | PBE | relaxed; crystal system = orthorhombic; DOS at the Fermi energy = 0.92 states/eV/atom
1.0
2.8494 -0.0073 0.0000
-1.2551 2.5581 0.0000
0.0000 0.0000 8.7976
Ag Tc As
1 2 1
direct
0.5000 0.5000 0.2500
0.0000 0.0000 0.9716
0.0000 0.0000 0.5284
0.5000 0.5000 0.7500

Tc2AgAs | the Alexandria database | PBE | relaxed; crystal system = orthorhombic; DOS at the Fermi energy = 1.01 states/eV/atom
1.0
5.3193 -0.0022 0.0043
4.4615 2.8965 0.0043
1.9584 0.5795 4.0876
As Tc Ag
1 2 1
direct
0.2500 0.2500 0.2500
0.5361 0.5361 0.4637
0.9639 0.9639 0.0363
0.7500 0.7500 0.7500

| no. | total magnetic moment (μB/cell) | E_form (eV per atom) | calculated volume (Å³ per atom) |
| --- | --- | --- | --- |
| 1 | 0.000 | 0.19 | 17.7 |
| 2 | 0.983 | 0.36 | 16.7 |
| 3 | 0.000 | 0.49 | 16.0 |
| 4 | 0.000 | 0.32 | 15.7 |